# 1
LaSi4Pd6: optimized geometry, PBE.

For the energy relative to the elements, uncorrected, the calculation gives -8.69 eV per formula unit. The calculation puts the total magnetization at 0.0 Bohr magnetons per cell.

It has space group P-6m2 (No. 187), with a = 7.1298 Å, b = 7.1298 Å, c = 4.0153 Å, α = 90.00°, β = 90.00° and γ = 120.00°. The asymmetric unit holds La at (0.0000, 0.0000, 0.0000), Si at (0.3333, 0.6667, 0.0000), Si at (0.3997, 0.1999, 0.5000), Pd at (0.1998, 0.3995, 0.5000) and Pd at (0.5338, 0.0676, 0.0000).

# 2
La2SiPd: optimized geometry, PBE.

For the energy relative to the elements, uncorrected, the calculation gives -0.42 eV per formula unit. The calculation puts the total magnetization at 0.0 Bohr magnetons per cell.

It has space group I-42d (No. 122), with a = 6.259 Å, b = 6.259 Å, c = 15.004 Å, α = 90.00°, β = 90.00° and γ = 90.00°. The asymmetric unit holds La at (0.249, 0.250, 0.125), Si at (0.000, 0.000, 0.500) and Pd at (0.000, 0.000, 0.000).

# 3
LaSi3Pd9: optimized geometry, PBE.

For the energy relative to the elements, uncorrected, the calculation gives -8.36 eV per formula unit. The calculation puts the total magnetization at 0.0 Bohr magnetons per cell.

It has space group C2/m (No. 12), with a = 5.243 Å, b = 13.179 Å, c = 6.387 Å, α = 90.00°, β = 108.11° and γ = 90.00°. The asymmetric unit holds La at (0.000, 0.000, 0.000), Si at (0.000, 0.500, 0.500), Si at (0.250, 0.250, 0.000), Pd at (0.000, 0.000, 0.500), Pd at (0.077, 0.389, 0.228) and Pd at (0.116, 0.183, 0.318).

# 4
La2SiPd2: optimized geometry, PBE.

For the energy relative to the elements, uncorrected, the calculation gives -4.17 eV per formula unit. The calculation puts the total magnetization at 0.0 Bohr magnetons per cell.

It has space group Immm (No. 71), with a = 4.523 Å, b = 5.691 Å, c = 8.740 Å, α = 90.00°, β = 90.00° and γ = 90.00°. The asymmetric unit holds La at (0.000, 0.000, 0.200), Si at (0.000, 0.500, 0.000) and Pd at (0.000, 0.255, 0.500).

# 5
LaSi3Pd: optimized geometry, PBE.

For the energy relative to the elements, uncorrected, the calculation gives 7.97 eV per formula unit. The calculation puts the total magnetization at 0.0 Bohr magnetons per cell.

It has space group Pm-3m (No. 221), with a = 5.406 Å, b = 5.406 Å, c = 5.406 Å, α = 90.00°, β = 90.00° and γ = 90.00°. The asymmetric unit holds La at (0.000, 0.000, 0.000), Si at (0.000, 0.000, 0.500) and Pd at (0.500, 0.500, 0.500).

# 6
La8SiPd2: optimized geometry, PBE.

For the energy relative to the elements, uncorrected, the calculation gives -3.63 eV per formula unit. The calculation puts the total magnetization at 0.0 Bohr magnetons per cell.

It has space group Cm (No. 8), with a = 8.434 Å, b = 14.022 Å, c = 6.567 Å, α = 90.00°, β = 115.96° and γ = 90.00°. The asymmetric unit holds La at (0.000, 0.000, 0.000), La at (0.089, 0.368, 0.820), La at (0.115, 0.129, 0.558), La at (0.202, 0.500, 0.384), La at (0.350, 0.193, 0.192), Si at (0.357, 0.000, 0.424) and Pd at (0.346, 0.304, 0.682).

# 7
La2SiPd: optimized geometry, PBE.

For the energy relative to the elements, uncorrected, the calculation gives -3.07 eV per formula unit. The calculation puts the total magnetization at 0.0 Bohr magnetons per cell.

It has space group Amm2 (No. 38), with a = 4.361 Å, b = 4.298 Å, c = 11.123 Å, α = 90.00°, β = 90.00° and γ = 90.00°. The asymmetric unit holds La at (0.000, 0.000, 0.000), La at (0.500, 0.000, 0.279), Si at (0.000, 0.000, 0.711) and Pd at (0.500, 0.000, 0.572).

# 8
La3Si2Pd: optimized geometry, PBE.

For the energy relative to the elements, uncorrected, the calculation gives -4.59 eV per formula unit. The calculation puts the total magnetization at 2.3 Bohr magnetons per cell.

It has space group Pnma (No. 62), with a = 12.055 Å, b = 4.430 Å, c = 11.902 Å, α = 90.00°, β = 90.00° and γ = 90.00°. The asymmetric unit holds La at (0.055, 0.250, 0.124), La at (0.121, 0.750, 0.559), La at (0.211, 0.250, 0.806), Si at (0.024, 0.750, 0.313), Si at (0.194, 0.750, 0.996) and Pd at (0.127, 0.250, 0.369).

# 9
La8Si2Pd: optimized geometry, PBE.

For the energy relative to the elements, uncorrected, the calculation gives -3.79 eV per formula unit. The calculation puts the total magnetization at 0.0 Bohr magnetons per cell.

It has space group Cm (No. 8), with a = 8.585 Å, b = 14.577 Å, c = 6.338 Å, α = 90.00°, β = 120.50° and γ = 90.00°. The asymmetric unit holds La at (0.000, 0.000, 0.000), La at (0.198, 0.360, 0.068), La at (0.212, 0.000, 0.630), La at (0.434, 0.293, 0.697), La at (0.450, 0.120, 0.327), Si at (0.093, 0.191, 0.287) and Pd at (0.305, 0.500, 0.458).

# 10
LaSi4Pd2: optimized geometry, PBE.

For the energy relative to the elements, uncorrected, the calculation gives -2.54 eV per formula unit. The calculation puts the total magnetization at 0.0 Bohr magnetons per cell.

It has space group I4/mmm (No. 139), with a = 5.913 Å, b = 5.913 Å, c = 8.202 Å, α = 90.00°, β = 90.00° and γ = 90.00°. The asymmetric unit holds La at (0.000, 0.000, 0.000), Si at (0.000, 0.286, 0.500) and Pd at (0.000, 0.500, 0.250).

# 11
La2SiPd3: optimized geometry, PBE.

For the energy relative to the elements, uncorrected, the calculation gives -5.18 eV per formula unit. The calculation puts the total magnetization at 0.0 Bohr magnetons per cell.

It has space group Pmm2 (No. 25), with a = 3.919 Å, b = 4.401 Å, c = 7.812 Å, α = 90.00°, β = 90.00° and γ = 90.00°. The asymmetric unit holds La at (0.000, 0.000, 0.000), La at (0.000, 0.500, 0.490), Si at (0.500, 0.500, 0.814), Pd at (0.500, 0.000, 0.333), Pd at (0.500, 0.000, 0.682) and Pd at (0.500, 0.500, 0.125).

# 12
LaSmSi2Pd5: optimized geometry, PBE.

For the energy relative to the elements, uncorrected, the calculation gives -8.02 eV per formula unit. The calculation puts the total magnetization at 0.0 Bohr magnetons per cell.

It has space group P4/mmm (No. 123), with a = 4.264 Å, b = 4.264 Å, c = 9.063 Å, α = 90.00°, β = 90.00° and γ = 90.00°. The asymmetric unit holds La at (0.000, 0.000, 0.000), Sm at (0.000, 0.000, 0.500), Si at (0.500, 0.500, 0.369), Pd at (0.000, 0.500, 0.236) and Pd at (0.500, 0.500, 0.000).